Entry 1:
## CrTcSe2 (PBE)

Data for an optimized crystal structure of CrTcSe2.

Cell: 3.9820 3.5610 5.0575 Å, 88.00 90.00 90.00°
Site moments in Bohr magnetons follow the coordinates.
Fractional coordinates of all 4 atoms:
Cr: 0.5000 0.7500 0.7500  3.44
Se: 0.0000 0.0673 0.9879  -0.04
Se: 0.0000 0.4327 0.5121  -0.04
Tc: 0.5000 0.2500 0.2500  -0.33

Computed properties:
Excess energy over the best structure of this formula in the dataset: 2.510 eV per formula unit
Raw total energy: -6.363 eV/atom
Space group: P2/m, No. 10
Size of the total moment: 3.3 μB per formula unit

Entry 2:
## CrTcSe2 (PBE)

Data for an optimized crystal structure of CrTcSe2.

Cell: 4.6371 4.6371 4.8103 Å, 78.63 78.63 40.74°
Site moments in Bohr magnetons follow the coordinates.
Fractional coordinates of all 4 atoms:
Cr: 0.2680 0.2680 0.1585  2.92
Se: 0.9944 0.9944 0.1165  -0.07
Se: 0.7560 0.7560 0.6925  -0.04
Tc: 0.4816 0.4816 0.5326  -0.16

Computed properties:
Excess energy over the best structure of this formula in the dataset: 1.119 eV per formula unit
Raw total energy: -6.710 eV/atom
Space group: Cm, No. 8
Size of the total moment: 2.8 μB per formula unit

Entry 3:
## CrTcSe2 (PBE)

Data for an optimized crystal structure of CrTcSe2.

Cell: 3.8292 3.6233 6.5137 Å, 89.78 90.00 90.00°
Site moments in Bohr magnetons follow the coordinates.
Fractional coordinates of all 4 atoms:
Cr: 0.5000 0.8749 0.6306  1.84
Se: 0.0000 0.8733 0.8771  -0.06
Se: 0.5000 0.3767 0.3725  -0.08
Tc: 0.0000 0.3750 0.6198  -0.07

Computed properties:
Excess energy over the best structure of this formula in the dataset: 0.000 eV per formula unit
Raw total energy: -6.990 eV/atom
Space group: Pm, No. 6
Size of the total moment: 1.6 μB per formula unit

Entry 4:
## CrTcSe2 (PBE)

Data for an optimized crystal structure of CrTcSe2.

Cell: 5.5952 5.5952 6.9262 Å, 66.18 66.18 90.00°
Site moments in Bohr magnetons follow the coordinates.
Fractional coordinates of all 8 atoms:
Cr: 0.5000 0.5000 0.0000  3.23
Cr: 0.2500 0.7500 0.5000  3.22
Tc: 0.0000 0.0000 0.0000  -0.37
Tc: 0.7500 0.2500 0.5000  -0.36
Se: 0.6315 0.1250 0.2500  -0.07
Se: 0.1184 0.6250 0.2500  -0.07
Se: 0.3750 0.3684 0.7500  -0.07
Se: 0.8750 0.8816 0.7500  -0.07

Computed properties:
Excess energy over the best structure of this formula in the dataset: 1.481 eV per formula unit
Raw total energy: -6.620 eV/atom
Space group: I-42d, No. 122
Size of the total moment: 3.0 μB per formula unit

Entry 5:
## CrTcSe2 (PBE)

Data for an optimized crystal structure of CrTcSe2.

Cell: 9.8082 9.8082 9.8082 Å, 17.94 17.94 17.94°
Site moments in Bohr magnetons follow the coordinates.
Fractional coordinates of all 4 atoms:
Cr: 0.7533 0.7533 0.7533  0.83
Se: 0.0312 0.0312 0.0312  -0.08
Se: 0.2204 0.2204 0.2204  -0.01
Tc: 0.4951 0.4951 0.4951  0.00

Computed properties:
Excess energy over the best structure of this formula in the dataset: 0.811 eV per formula unit
Raw total energy: -6.787 eV/atom
Space group: R3m, No. 160
Size of the total moment: 0.7 μB per formula unit

Entry 6:
## CrTc2Se (PBE)

Data for an optimized crystal structure of CrTc2Se.

Cell: 4.0177 2.8642 5.3869 Å, 71.02 90.00 90.00°
Site moments in Bohr magnetons follow the coordinates.
Fractional coordinates of all 4 atoms:
Cr: 0.5000 0.2500 0.2500  1.61
Se: 0.5000 0.7500 0.7500  -0.01
Tc: 0.0000 0.8622 0.0019  -0.27
Tc: 0.0000 0.6378 0.4981  -0.27

Computed properties:
Raw total energy: -8.126 eV/atom
Space group: P2/m, No. 10
Size of the total moment: 1.2 μB per formula unit

Entry 7:
## CrTc2Se (PBE)

Data for an optimized crystal structure of CrTc2Se.

Cell: 8.4629 8.4629 8.4629 Å, 19.29 19.29 19.29°
Fractional coordinates of all 4 atoms:
Cr: 0.4960 0.4960 0.4960
Se: 0.7570 0.7570 0.7570
Tc: 0.9989 0.9989 0.9989
Tc: 0.2481 0.2481 0.2481

Computed properties:
Raw total energy: -8.220 eV/atom
Space group: R3m, No. 160
Size of the total moment: 0.0 μB per formula unit

Entry 8:
## CrTcSe2 (PBE)

Data for an optimized crystal structure of CrTcSe2.

Cell: 4.5627 4.5627 4.5627 Å, 60.00 60.00 60.00°
Site moments in Bohr magnetons follow the coordinates.
Fractional coordinates of all 4 atoms:
Cr: 0.5000 0.5000 0.5000  2.92
Se: 0.0000 0.0000 0.0000  0.07
Se: 0.7500 0.7500 0.7500  -0.08
Tc: 0.2500 0.2500 0.2500  -1.66

Computed properties:
Excess energy over the best structure of this formula in the dataset: 3.639 eV per formula unit
Raw total energy: -6.080 eV/atom
Space group: F-43m, No. 216
Size of the total moment: 1.3 μB per formula unit

Entry 9:
## CrTcSe2 (PBE)

Data for an optimized crystal structure of CrTcSe2.

Cell: 4.9072 4.9072 4.4652 Å, 64.23 64.23 101.40°
Site moments in Bohr magnetons follow the coordinates.
Fractional coordinates of all 4 atoms:
Cr: 0.0000 0.5000 0.5000  3.25
Se: 0.0000 0.0000 0.0000  -0.06
Se: 0.5000 0.5000 0.0000  -0.06
Tc: 0.5000 0.0000 0.5000  -0.93

Computed properties:
Excess energy over the best structure of this formula in the dataset: 2.655 eV per formula unit
Raw total energy: -6.326 eV/atom
Space group: C2/m, No. 12
Size of the total moment: 2.4 μB per formula unit

Entry 10:
## CrTc2Se (PBE)

Data for an optimized crystal structure of CrTc2Se.

Cell: 4.3240 4.3240 4.3240 Å, 60.00 60.00 60.00°
Site moments in Bohr magnetons follow the coordinates.
Fractional coordinates of all 4 atoms:
Cr: 0.5000 0.5000 0.5000  0.39
Se: 0.7500 0.7500 0.7500  -0.01
Tc: 0.0000 0.0000 0.0000  0.04
Tc: 0.2500 0.2500 0.2500  -0.02

Computed properties:
Raw total energy: -8.018 eV/atom
Space group: F-43m, No. 216
Size of the total moment: 0.4 μB per formula unit

Entry 11:
## Cr2TcSe2 (PBE)

Data for an optimized crystal structure of Cr2TcSe2.

Cell: 6.9074 6.9074 3.2325 Å, 90.00 90.00 90.00°
Site moments in Bohr magnetons follow the coordinates.
Fractional coordinates of all 10 atoms:
Cr: 0.3625 0.8625 0.0000  2.17
Cr: 0.8625 0.6375 0.0000  2.17
Cr: 0.6375 0.1375 0.0000  2.17
Cr: 0.1375 0.3625 0.0000  2.17
Tc: 0.0000 0.0000 0.0000  -1.72
Tc: 0.5000 0.5000 0.0000  -1.72
Se: 0.1600 0.6600 0.5000  -0.09
Se: 0.6600 0.8400 0.5000  -0.09
Se: 0.8400 0.3400 0.5000  -0.09
Se: 0.3400 0.1600 0.5000  -0.09

Computed properties:
Excess energy over the best structure of this formula in the dataset: 0.000 eV per formula unit
Raw total energy: -6.905 eV/atom
Space group: P4/mbm, No. 127
Size of the total moment: 2.5 μB per formula unit

Entry 12:
## CrTc2Se2 (PBE)

Data for an optimized crystal structure of CrTc2Se2.

Cell: 7.0624 7.0624 3.0350 Å, 90.00 90.00 90.00°
Fractional coordinates of all 10 atoms:
Cr: 0.0000 0.0000 0.0000
Cr: 0.5000 0.5000 0.0000
Tc: 0.1499 0.6499 0.5000
Tc: 0.6499 0.8501 0.5000
Tc: 0.8501 0.3501 0.5000
Tc: 0.3501 0.1499 0.5000
Se: 0.3431 0.8431 0.0000
Se: 0.8431 0.6569 0.0000
Se: 0.6569 0.1569 0.0000
Se: 0.1569 0.3431 0.0000

Computed properties:
Excess energy over the best structure of this formula in the dataset: 0.000 eV per formula unit
Raw total energy: -6.964 eV/atom
Space group: P4/mbm, No. 127
Size of the total moment: 0.0 μB per formula unit